[1]
The following is a DFT calculation (PBE) of a relaxed ErPuCoOs crystal.

```
data_ErPuCoOs
_cell_length_a 6.712
_cell_length_b 6.712
_cell_length_c 6.712
_cell_angle_alpha 90.00
_cell_angle_beta 90.00
_cell_angle_gamma 90.00
_space_group_name_H-M_alt 'F -4 3 m'
_space_group_IT_number 216
_space_group_name_Hall 'F -4 2 3'
loop_
_atom_site_label
_atom_site_fract_x
_atom_site_fract_y
_atom_site_fract_z
Er1 0.000 0.000 0.000
Pu1 0.000 0.000 0.500
Co1 0.250 0.250 0.750
Os1 0.250 0.250 0.250
```

Computed properties:
Formation energy in eV/atom: -0.108
Mass density in g/cm³: 14.5



[2]
The following is a DFT calculation (PBE) of a relaxed ErScCoOs crystal.

```
data_ErScCoOs
_cell_length_a 6.525
_cell_length_b 6.525
_cell_length_c 6.525
_cell_angle_alpha 90.00
_cell_angle_beta 90.00
_cell_angle_gamma 90.00
_space_group_name_H-M_alt 'F -4 3 m'
_space_group_IT_number 216
_space_group_name_Hall 'F -4 2 3'
loop_
_atom_site_label
_atom_site_fract_x
_atom_site_fract_y
_atom_site_fract_z
Er1 0.000 0.000 0.000
Sc1 0.000 0.000 0.500
Co1 0.250 0.250 0.250
Os1 0.250 0.250 0.750
```

Computed properties:
Formation energy in eV/atom: -0.257
Mass density in g/cm³: 11.0



[3]
The following is a DFT calculation (PBE) of a relaxed ErCoSi3Os crystal.

```
data_ErCoSi3Os
_cell_length_a 7.305
_cell_length_b 11.354
_cell_length_c 5.264
_cell_angle_alpha 90.00
_cell_angle_beta 90.00
_cell_angle_gamma 90.00
_space_group_name_H-M_alt 'C m c m'
_space_group_IT_number 63
_space_group_name_Hall '-C 2c 2'
loop_
_atom_site_label
_atom_site_fract_x
_atom_site_fract_y
_atom_site_fract_z
Er1 0.000 0.208 0.250
Co1 0.000 0.452 0.750
Si1 0.000 0.272 0.750
Si2 0.242 0.500 0.000
Os1 0.000 0.075 0.750
```

Computed properties:
Mass density in g/cm³: 7.6
E_form (uncorrected) in meV/atom: -319.4



[4]
The following is a DFT calculation (PBE) of a relaxed SmErCoOs crystal.

```
data_SmErCoOs
_cell_length_a 6.814
_cell_length_b 6.814
_cell_length_c 6.814
_cell_angle_alpha 90.00
_cell_angle_beta 90.00
_cell_angle_gamma 90.00
_space_group_name_H-M_alt 'F -4 3 m'
_space_group_IT_number 216
_space_group_name_Hall 'F -4 2 3'
loop_
_atom_site_label
_atom_site_fract_x
_atom_site_fract_y
_atom_site_fract_z
Sm1 0.000 0.000 0.000
Er1 0.000 0.000 0.500
Co1 0.250 0.250 0.250
Os1 0.250 0.250 0.750
```

Computed properties:
Formation energy in eV/atom: -0.058
Mass density in g/cm³: 11.9



no.,Fermi-level density of states (states/eV/cell)
1,18.1
2,14.6
3,5.0
4,19.9